An optimized crystal structure of Al2MoSe, computed with GGA-PBEsol.

Calculated values
total moment = 0.001 μB/atom
SG = No. 160
raw total energy = -5.983 eV/atom

POSCAR file:
```
Al2MoSe
1.0
-2.378 -1.616 1.147
-2.069 -1.280 -1.914
2.999 -7.771 -0.549
Al Mo Se
2 1 1
Direct
0.999 0.999 0.002 Al
0.754 0.754 0.738 Al
0.504 0.504 0.487 Mo
0.242 0.242 0.273 Se
```

An optimized crystal structure of Y3HfTl, computed with GGA-PBEsol.

Calculated values
total moment = 0.649 μB/atom
SG = No. 221
ΔH_f (0 K) = 0.801 eV per atom

POSCAR file:
```
Y3HfTl
1.0
5.570 0.000 0.000
0.000 5.570 0.000
0.000 0.000 5.570
Tl Hf Y
1 1 3
Direct
0.000 0.000 0.000 Tl
0.500 0.500 0.500 Hf
0.000 0.500 0.000 Y
0.500 0.000 0.000 Y
0.000 0.000 0.500 Y
```

An optimized crystal structure of LaSeCl2, computed with GGA-PBEsol.

Calculated values
total moment = 0.000 μB/atom
energy above the lowest structure with this stoichiometry = 0.041 eV per atom
SG = No. 12

POSCAR file:
```
LaSeCl2
1.0
-1.655 -3.795 -1.795
4.158 -1.748 -0.146
-1.571 0.212 5.274
La Se Cl
1 1 2
Direct
0.000 0.000 0.000 La
0.500 0.500 0.000 Se
0.000 0.000 0.500 Cl
0.500 0.500 0.500 Cl
```

An optimized crystal structure of Y2Co3, computed with GGA-PBEsol.

Calculated values
total moment = 0.304 μB/atom
SG = No. 166
ΔH_f (0 K) = 0.004 eV per atom

POSCAR file:
```
Y2Co3
1.0
-3.067 1.737 -1.387
-1.015 -0.542 -3.609
-5.384 -5.137 0.298
Co Y
3 2
Direct
0.000 0.000 0.000 Co
0.835 0.835 0.495 Co
0.165 0.165 0.505 Co
0.408 0.408 0.777 Y
0.592 0.592 0.223 Y
```

An optimized crystal structure of NaHfSnTe2, computed with GGA-PBEsol.

Calculated values
total moment = 0.000 μB/atom
SG = No. 123
raw total energy = -4.874 eV/atom

POSCAR file:
```
NaHfSnTe2
1.0
5.491 0.000 0.000
0.000 5.548 0.000
0.000 0.000 5.548
Te Na Hf Sn
2 1 1 1
Direct
0.000 0.500 0.000 Te
0.000 0.000 0.500 Te
0.500 0.500 0.500 Na
0.000 0.000 0.000 Hf
0.500 0.000 0.000 Sn
```

An optimized crystal structure of BaCrNi, computed with GGA-PBEsol.

Calculated values
total moment = 1.174 μB/atom
SG = No. 107
ΔH_f (0 K) = 0.674 eV per atom

POSCAR file:
```
BaCrNi
1.0
-2.317 1.376 -2.007
-1.278 -3.046 -0.613
-1.674 1.406 5.708
Cr Ba Ni
1 1 1
Direct
0.275 0.275 0.551 Cr
0.005 0.005 0.010 Ba
0.720 0.720 0.440 Ni
```

An optimized crystal structure of ZrTe2, computed with GGA-PBEsol.

Calculated values
total moment = 0.000 μB/atom
SG = No. 164
raw total energy = -6.264 eV/atom

POSCAR file:
```
ZrTe2
1.0
3.868 0.000 0.000
-1.934 3.350 0.000
0.000 0.000 6.567
Zr Te
1 2
Direct
0.000 0.000 0.000 Zr
0.667 0.333 0.277 Te
0.333 0.667 0.723 Te
```

An optimized crystal structure of Re3P, computed with GGA-PBEsol.

Calculated values
total moment = 0.000 μB/atom
energy above the lowest structure with this stoichiometry = 0.236 eV per atom
SG = No. 10
ΔH_f (0 K) = 0.074 eV per atom

POSCAR file:
```
Re3P
1.0
2.798 0.000 0.005
0.000 3.939 0.000
-1.185 0.000 5.054
P Re
1 3
Direct
0.000 0.000 0.000 P
0.360 0.500 0.234 Re
0.000 0.000 0.500 Re
0.640 0.500 0.766 Re
```

An optimized crystal structure of K2MgH8N4, computed with GGA-PBEsol.

Calculated values
total moment = 0.000 μB/atom
SG = No. 14
raw total energy = -4.792 eV/atom

POSCAR file:
```
K2MgH8N4
1.0
6.762 0.000 0.000
0.000 7.310 0.040
0.000 -3.233 12.983
H N K Mg
32 16 8 4
Direct
0.001 0.152 0.206 H
0.677 0.713 0.747 H
0.501 0.848 0.294 H
0.499 0.152 0.706 H
0.586 0.917 0.754 H
0.778 0.665 0.896 H
0.247 0.025 0.600 H
0.086 0.083 0.746 H
0.914 0.917 0.254 H
0.222 0.335 0.104 H
0.406 0.395 0.514 H
0.753 0.975 0.400 H
0.414 0.083 0.246 H
0.094 0.395 0.014 H
0.392 0.892 0.517 H
0.594 0.605 0.486 H
0.016 0.625 0.784 H
0.323 0.287 0.253 H
0.278 0.335 0.604 H
0.747 0.975 0.900 H
0.608 0.108 0.483 H
0.892 0.108 0.983 H
0.906 0.605 0.986 H
0.984 0.375 0.216 H
0.253 0.025 0.100 H
0.484 0.625 0.284 H
0.516 0.375 0.716 H
0.722 0.665 0.396 H
0.999 0.848 0.794 H
0.108 0.892 0.017 H
0.177 0.287 0.753 H
0.823 0.713 0.247 H
0.782 0.567 0.941 N
0.718 0.567 0.441 N
0.261 0.889 0.556 N
0.954 0.274 0.256 N
0.218 0.433 0.059 N
0.957 0.780 0.248 N
0.739 0.111 0.444 N
0.543 0.780 0.748 N
0.761 0.111 0.944 N
0.043 0.220 0.752 N
0.457 0.220 0.252 N
0.546 0.274 0.756 N
0.046 0.726 0.744 N
0.454 0.726 0.244 N
0.282 0.433 0.559 N
0.239 0.889 0.056 N
0.367 0.591 0.895 K
0.846 0.907 0.600 K
0.867 0.409 0.605 K
0.133 0.591 0.395 K
0.154 0.093 0.400 K
0.346 0.093 0.900 K
0.633 0.409 0.105 K
0.654 0.907 0.100 K
0.201 0.705 0.154 Mg
0.799 0.295 0.846 Mg
0.701 0.295 0.346 Mg
0.299 0.705 0.654 Mg
```

An optimized crystal structure of CaCrMo2, computed with GGA-PBEsol.

Calculated values
total moment = 0.758 μB/atom
energy above the lowest structure with this stoichiometry = 0.211 eV per atom
SG = No. 8
ΔH_f (0 K) = 0.833 eV per atom

POSCAR file:
```
CaCrMo2
1.0
2.729 0.000 0.000
-1.364 4.418 0.091
0.000 -0.065 5.911
Mo Ca Cr
2 1 1
Direct
0.249 0.498 0.196 Mo
0.006 0.012 0.002 Mo
0.497 0.994 0.505 Ca
0.748 0.495 0.797 Cr
```

An optimized crystal structure of MnFe2Sb, computed with GGA-PBEsol.

Calculated values
total moment = 1.258 μB/atom
SG = No. 166
raw total energy = -7.460 eV/atom

POSCAR file:
```
MnFe2Sb
1.0
2.887 0.000 0.000
1.444 2.501 0.000
1.444 0.834 7.629
Fe Mn Sb
2 1 1
Direct
0.243 0.243 0.271 Fe
0.757 0.757 0.729 Fe
0.500 0.500 0.500 Mn
0.000 0.000 0.000 Sb
```

An optimized crystal structure of SrTaNO2, computed with GGA-PBEsol.

Calculated values
total moment = 0.000 μB/atom
SG = No. 1
raw total energy = -9.155 eV/atom

POSCAR file:
```
SrTaNO2
1.0
5.676 0.011 -0.003
0.002 5.686 0.000
-0.007 -0.008 8.091
O Sr Ta N
8 4 4 4
Direct
0.776 0.768 0.453 O
0.225 0.220 0.954 O
0.781 0.776 0.010 O
0.726 0.273 0.977 O
0.531 0.953 0.736 O
0.277 0.726 0.478 O
0.028 0.469 0.228 O
0.284 0.716 0.988 O
0.981 0.002 0.725 Sr
0.496 0.510 0.251 Sr
0.487 0.504 0.726 Sr
0.996 0.012 0.249 Sr
0.490 0.016 0.486 Ta
0.494 0.002 0.998 Ta
0.997 0.506 0.975 Ta
0.991 0.491 0.492 Ta
0.984 0.535 0.738 N
0.738 0.263 0.489 N
0.238 0.236 0.509 N
0.478 0.021 0.231 N
```

An optimized crystal structure of Hg2SbTeW, computed with GGA-PBEsol.

Calculated values
total moment = 0.942 μB/atom
SG = No. 123
raw total energy = -2.982 eV/atom

POSCAR file:
```
Hg2SbTeW
1.0
-4.249 1.808 2.622
-2.667 -4.409 -1.282
1.907 -2.566 4.860
Hg W Te Sb
2 1 1 1
Direct
0.000 0.500 0.000 Hg
0.500 0.000 0.000 Hg
0.500 0.500 0.500 W
0.000 0.000 0.500 Te
0.000 0.000 0.000 Sb
```

An optimized crystal structure of AlNi2O4, computed with GGA-PBEsol.

Calculated values
total moment = 0.428 μB/atom
energy above the lowest structure with this stoichiometry = 0.083 eV per atom
SG = No. 227

POSCAR file:
```
AlNi2O4
1.0
5.697 0.000 0.000
2.849 4.934 0.000
2.849 1.645 4.652
Al O Ni
2 8 4
Direct
0.000 0.000 0.000 Al
0.250 0.250 0.250 Al
0.379 0.862 0.379 O
0.871 0.871 0.871 O
0.379 0.379 0.862 O
0.871 0.871 0.388 O
0.862 0.379 0.379 O
0.388 0.871 0.871 O
0.871 0.388 0.871 O
0.379 0.379 0.379 O
0.625 0.625 0.625 Ni
0.125 0.625 0.625 Ni
0.625 0.625 0.125 Ni
0.625 0.125 0.625 Ni
```

An optimized crystal structure of CaTaSe2N, computed with GGA-PBEsol.

Calculated values
total moment = 0.000 μB/atom
SG = No. 123
raw total energy = -7.097 eV/atom

POSCAR file:
```
CaTaSe2N
1.0
-2.299 2.705 1.649
-3.688 -1.052 -3.414
-1.916 -3.559 3.166
Ta Se Ca N
1 2 1 1
Direct
0.000 0.000 0.000 Ta
0.000 0.500 0.000 Se
0.000 0.000 0.500 Se
0.500 0.500 0.500 Ca
0.500 0.000 0.000 N
```

An optimized crystal structure of CoCu2Te, computed with GGA-PBEsol.

Calculated values
total moment = 0.001 μB/atom
SG = No. 99
raw total energy = -4.761 eV/atom

POSCAR file:
```
CoCu2Te
1.0
-1.026 -2.845 -1.181
3.065 -0.831 -0.662
0.453 -2.159 4.808
Cu Co Te
2 1 1
Direct
0.000 0.000 0.018 Cu
0.500 0.500 0.208 Cu
0.500 0.500 0.744 Co
0.000 0.000 0.531 Te
```

An optimized crystal structure of MnSb2Cl, computed with GGA-PBEsol.

Calculated values
total moment = 0.998 μB/atom
energy above the lowest structure with this stoichiometry = 0.061 eV per atom
SG = No. 99

POSCAR file:
```
MnSb2Cl
1.0
-0.521 1.366 2.792
-2.516 -1.848 0.435
5.197 -6.139 3.972
Cl Sb Mn
1 2 1
Direct
0.000 0.000 0.582 Cl
0.500 0.500 0.235 Sb
0.000 0.000 0.952 Sb
0.500 0.500 0.732 Mn
```

An optimized crystal structure of Cs2NaPrBr6, computed with GGA-PBEsol.

Calculated values
total moment = 0.000 μB/atom
SG = No. 225
raw total energy = -3.766 eV/atom

POSCAR file:
```
Cs2NaPrBr6
1.0
-3.500 4.741 -5.526
-5.332 -3.121 -5.205
-7.837 1.853 0.648
Br Cs Na Pr
6 2 1 1
Direct
0.750 0.250 0.250 Br
0.250 0.750 0.750 Br
0.750 0.250 0.750 Br
0.250 0.750 0.250 Br
0.250 0.250 0.750 Br
0.750 0.750 0.250 Br
0.750 0.750 0.750 Cs
0.250 0.250 0.250 Cs
0.500 0.500 0.500 Na
0.000 0.000 0.000 Pr
```

An optimized crystal structure of KRbTc2, computed with GGA-PBEsol.

Calculated values
total moment = 1.613 μB/atom
SG = No. 225
ΔH_f (0 K) = 2.556 eV per atom

POSCAR file:
```
KRbTc2
1.0
-1.974 4.840 -1.210
-3.802 0.485 -3.755
-5.016 1.281 1.411
Tc K Rb
2 1 1
Direct
0.250 0.250 0.250 Tc
0.750 0.750 0.750 Tc
0.000 0.000 0.000 K
0.500 0.500 0.500 Rb
```

An optimized crystal structure of SrSCl2O, computed with GGA-PBEsol.

Calculated values
total moment = 0.000 μB/atom
energy above the lowest structure with this stoichiometry = 0.000 eV per atom
SG = No. 123

POSCAR file:
```
SrSCl2O
1.0
4.148 0.000 0.000
0.000 4.694 0.000
0.000 0.000 4.694
Sr Cl O S
1 2 1 1
Direct
0.500 0.500 0.500 Sr
0.000 0.500 0.000 Cl
0.000 0.000 0.500 Cl
0.000 0.000 0.000 O
0.500 0.000 0.000 S
```